VASP calculation (PBE) on a relaxed structure of LaHPt.

Computed properties:
The calculated density comes out at 10530 kg/m³. Its space group is No. 6. The calculation puts the energy above the most stable polymorph in this dataset at 44.5 meV/atom.

Geometry as extended XYZ:
```
6
Lattice="3.917 0.000 0.000 0.000 4.831 0.000 -1.667 0.000 5.584" Properties=species:S:1:pos:R:3 pbc="T T T"
La 0.000 0.000 0.000
La 0.030 2.415 3.052
H 0.004 2.415 0.460
H 0.547 0.000 3.782
Pt 1.946 2.415 0.614
Pt 1.915 0.000 2.512
```

---

VASP calculation (PBE) on a relaxed structure of La2H8Pt.

Computed properties:
The calculation puts the total energy at -4.2409 eV/atom. The calculated density comes out at 6882 kg/m³. Its space group is No. 12.

Geometry as extended XYZ:
```
11
Lattice="7.223 -1.810 0.000 7.223 1.810 0.000 -0.922 0.000 4.438" Properties=species:S:1:pos:R:3 pbc="T T T"
La 2.108 0.000 0.656
La 11.417 0.000 3.782
H -0.381 0.000 3.023
H 2.946 0.000 2.909
H 4.330 0.000 0.476
H 5.122 0.000 2.438
H 8.403 0.000 2.000
H 9.195 0.000 3.961
H 10.578 0.000 1.529
H 13.906 0.000 1.414
Pt 6.762 0.000 2.219
```

---

VASP calculation (PBE) on a relaxed structure of LaHPt.

Computed properties:
The calculated density comes out at 9880 kg/m³. Its space group is No. 36. The calculation puts the energy above the most stable polymorph in this dataset at 49.0 meV/atom.

Geometry as extended XYZ:
```
6
Lattice="1.987 -6.228 0.000 1.987 6.228 0.000 0.000 0.000 4.549" Properties=species:S:1:pos:R:3 pbc="T T T"
La 1.987 4.666 2.275
La 1.987 -4.666 0.000
H 1.987 2.396 1.337
H 1.987 -2.396 3.611
Pt 1.987 0.959 2.296
Pt 1.987 -0.959 0.022
```

---

VASP calculation (PBE) on a relaxed structure of La3HPt.

Computed properties:
The calculated density comes out at 8516 kg/m³. Its space group is No. 221. The calculation puts the energy above the most stable polymorph in this dataset at 210.9 meV/atom.

Geometry as extended XYZ:
```
5
Lattice="4.925 0.000 0.000 0.000 4.925 0.000 0.000 0.000 4.925" Properties=species:S:1:pos:R:3 pbc="T T T"
La 0.000 0.000 2.463
La 0.000 2.463 0.000
La 2.463 0.000 0.000
H 0.000 0.000 0.000
Pt 2.463 2.463 2.463
```

---

VASP calculation (PBE) on a relaxed structure of LaH12Pt4.

Computed properties:
The calculation puts the total energy at -4.3073 eV/atom. The calculated density comes out at 8574 kg/m³. Its space group is No. 229.

Geometry as extended XYZ:
```
17
Lattice="-3.559 3.559 3.559 3.559 -3.559 3.559 3.559 3.559 -3.559" Properties=species:S:1:pos:R:3 pbc="T T T"
La 0.000 0.000 0.000
H 3.559 1.715 -1.715
H 3.559 -1.715 1.715
H 1.715 3.559 -1.715
H 1.844 1.844 0.000
H 1.844 0.000 1.844
H 1.715 -1.715 3.559
H 3.559 1.715 1.715
H 0.000 1.844 1.844
H -1.715 3.559 1.715
H -1.715 1.715 3.559
H 1.715 3.559 1.715
H 1.715 1.715 3.559
Pt 1.780 1.780 -1.780
Pt 1.780 -1.780 1.780
Pt -1.780 1.780 1.780
Pt 1.780 1.780 1.780
```

---

VASP calculation (PBE) on a relaxed structure of LaHPt.

Computed properties:
The calculated density comes out at 10231 kg/m³. Its space group is No. 8. The calculation puts the energy above the most stable polymorph in this dataset at 53.8 meV/atom.

Geometry as extended XYZ:
```
6
Lattice="5.758 -1.957 0.000 5.758 1.957 0.000 -0.032 0.000 4.824" Properties=species:S:1:pos:R:3 pbc="T T T"
La 0.000 0.000 0.000
La 8.449 0.000 2.366
H 2.009 0.000 3.622
H 11.034 0.000 2.402
Pt 3.249 0.000 0.045
Pt 5.164 0.000 2.368
```

---

VASP calculation (PBE) on a relaxed structure of LaH2Pt.

Computed properties:
The calculated density comes out at 10025 kg/m³. Its space group is No. 225. The calculation puts the energy above the most stable polymorph in this dataset at 329.3 meV/atom.

Geometry as extended XYZ:
```
4
Lattice="0.000 3.030 3.030 3.030 0.000 3.030 3.030 3.030 0.000" Properties=species:S:1:pos:R:3 pbc="T T T"
La 0.000 0.000 0.000
H 1.515 1.515 1.515
H 4.546 4.546 4.546
Pt 3.030 3.030 3.030
```

---

VASP calculation (PBE) on a relaxed structure of La2HPt.

Computed properties:
The calculated density comes out at 8509 kg/m³. Its space group is No. 122. The calculation puts the energy above the most stable polymorph in this dataset at 90.1 meV/atom.

Geometry as extended XYZ:
```
8
Lattice="-3.487 3.487 3.803 3.487 -3.487 3.803 3.487 3.487 -3.803" Properties=species:S:1:pos:R:3 pbc="T T T"
La 1.744 1.343 -0.951
La 2.144 -1.744 4.753
La 1.744 2.144 2.852
La 1.343 5.231 0.951
H 0.000 0.000 0.000
H 0.000 3.487 1.901
Pt 3.487 0.000 1.901
Pt 0.000 0.000 3.803
```

---

VASP calculation (PBE) on a relaxed structure of LaHPt.

Computed properties:
The calculated density comes out at 10450 kg/m³. Its space group is No. 11. The calculation puts the energy above the most stable polymorph in this dataset at 47.9 meV/atom.

Geometry as extended XYZ:
```
6
Lattice="3.880 0.000 0.000 0.000 4.932 0.000 -1.761 0.000 5.563" Properties=species:S:1:pos:R:3 pbc="T T T"
La 0.014 1.233 1.503
La 2.106 3.699 4.059
H -0.015 3.699 1.143
H 2.134 1.233 4.420
Pt 0.175 1.233 4.551
Pt 1.945 3.699 1.011
```

---

VASP calculation (PBE) on a relaxed structure of LaH8Pt2.

Computed properties:
The calculated density comes out at 8711 kg/m³. Its space group is No. 47. The calculation puts the energy above the most stable polymorph in this dataset at 0.0 meV/atom.

Geometry as extended XYZ:
```
11
Lattice="3.660 0.000 0.000 0.000 4.990 0.000 0.000 0.000 5.606" Properties=species:S:1:pos:R:3 pbc="T T T"
La 0.000 0.000 0.000
H 0.000 0.384 2.803
H 0.000 2.495 1.425
H 0.000 2.495 4.182
H 0.000 4.606 2.803
H 1.830 0.838 1.488
H 1.830 0.838 4.119
H 1.830 4.152 1.488
H 1.830 4.152 4.119
Pt 1.830 2.495 1.394
Pt 1.830 2.495 4.212
```

---

VASP calculation (PBE) on a relaxed structure of La2HPt.

Computed properties:
The calculated density comes out at 8099 kg/m³. Its space group is No. 160. The calculation puts the energy above the most stable polymorph in this dataset at 101.3 meV/atom.

Geometry as extended XYZ:
```
4
Lattice="2.001 1.155 7.007 -2.001 1.155 7.007 0.000 -2.310 7.007" Properties=species:S:1:pos:R:3 pbc="T T T"
La 0.000 0.000 0.000
La 0.000 0.000 3.437
H 0.000 0.000 15.811
Pt 0.000 0.000 12.244
```

---

VASP calculation (PBE) on a relaxed structure of LaH2Pt.

Computed properties:
The calculated density comes out at 9024 kg/m³. Its space group is No. 166. The calculation puts the energy above the most stable polymorph in this dataset at 0.0 meV/atom.

Geometry as extended XYZ:
```
4
Lattice="2.189 1.264 3.726 -2.189 1.264 3.726 0.000 -2.527 3.726" Properties=species:S:1:pos:R:3 pbc="T T T"
La 0.000 0.000 0.000
H 0.000 0.000 3.911
H 0.000 0.000 7.268
Pt 0.000 0.000 5.590
```